Record 1
Entry from Alexandria: VCrAs2O8 after structural relaxation (GGA+U).

Properties
**Total DFT energy (no corrections)**: -6.659 eV/atom
**Volume**: 272.3 Å³/cell
**Fermi-level density of states**: 0.05 states/eV/atom

Cell: 6.6329 6.6329 6.1898 Å, 90.00 90.00 90.00°
Last column: nearest neighbours and their distance in Å.
Space group I-4m2 (No. 119)
Asymmetric unit:
V 0.0000 0.0000 0.0000  8 O 2.07-2.24
Cr 0.0000 0.5000 0.7500  8 O 2.12-2.35
As 0.0000 0.0000 0.5000  4 O 1.73
As 0.0000 0.5000 0.2500  4 O 1.72
O 0.0000 0.1850 0.6970  1 As 1.73
O 0.0000 0.3052 0.0670  1 As 1.72

=====

Record 2
Entry from Alexandria: YCrAsO5 after structural relaxation (GGA+U).

Properties
**Total DFT energy (no corrections)**: -7.464 eV/atom
**Volume**: 457.6 Å³/cell
**Fermi-level density of states**: 0.00 states/eV/atom

Cell: 6.4658 9.4492 7.9381 Å, 90.00 109.35 90.00°
Last column: nearest neighbours and their distance in Å.
Space group C2/c (No. 15)
Asymmetric unit:
Y 0.0000 0.0000 0.0000  6 O 2.21-2.33
Cr 0.0000 0.3092 0.2500  3 O 1.94-2.09
As 0.0000 0.3133 0.7500  4 O 1.70-1.75
O 0.0000 0.1039 0.2500  1 Cr 1.94
O 0.1460 0.4193 0.9221  1 As 1.70
O 0.1582 0.1956 0.6736  1 As 1.75

=====

Record 3
Entry from Alexandria: YCr2AsO8 after structural relaxation (GGA+U).

Properties
**Total DFT energy (no corrections)**: -7.233 eV/atom
**Volume**: 134.4 Å³/cell
**Fermi-level density of states**: 0.01 states/eV/atom

Cell: 4.6283 4.6343 6.2748 Å, 88.75 88.75 87.66°
Last column: nearest neighbours and their distance in Å.
Space group P-1 (No. 2)
Asymmetric unit:
Y 0.0000 0.0000 0.0000  6 O 2.20
Cr 0.4988 0.4987 0.2589  6 O 1.90-2.08
As 0.0000 0.0000 0.5000  6 O 1.83-2.01
O 0.1950 0.8030 0.7117  1 As 1.83, 1 Cr 1.96
O 0.1990 0.8070 0.2882  1 As 1.83, 1 Cr 1.96
O 0.3001 0.3021 0.4946  2 Cr 1.95-2.08, 1 As 2.01
O 0.3287 0.3306 0.9891  2 Cr 1.90-2.06

=====

Record 4
Entry from Alexandria: ZnCrAs2O8 after structural relaxation (GGA+U).

Properties
**Total DFT energy (no corrections)**: -5.892 eV/atom
**Volume**: 271.3 Å³/cell
**Fermi-level density of states**: 0.00 states/eV/atom

Cell: 6.6174 6.6174 6.1958 Å, 90.00 90.00 90.00°
Last column: nearest neighbours and their distance in Å.
Space group I-4m2 (No. 119)
Asymmetric unit:
Zn 0.0000 0.0000 0.0000  8 O 2.10-2.35
Cr 0.0000 0.5000 0.7500  8 O 2.06-2.26
As 0.0000 0.0000 0.5000  4 O 1.72
As 0.0000 0.5000 0.2500  4 O 1.73
O 0.0000 0.1954 0.6832  1 As 1.72
O 0.0000 0.3135 0.0550  1 As 1.73

=====

Record 5
Entry from Alexandria: ZnCrAsO6 after structural relaxation (GGA+U).

Properties
**Total DFT energy (no corrections)**: -5.974 eV/atom
**Volume**: 183.7 Å³/cell
**Fermi-level density of states**: 0.48 states/eV/atom

Cell: 4.5338 4.5338 8.9343 Å, 90.00 90.00 90.00°
Last column: nearest neighbours and their distance in Å.
Space group P4_2nm (No. 102)
Asymmetric unit:
Zn 0.0000 0.0000 0.0000  6 O 2.03-2.07
Cr 0.0000 0.0000 0.6676  6 O 1.92-1.96
As 0.0000 0.0000 0.3345  6 O 1.85-1.88
O 0.1835 0.1835 0.4965  1 As 1.87, 1 Cr 1.93, 1 Zn 2.03
O 0.2007 0.2007 0.1814  1 As 1.88, 1 Cr 1.92, 1 Zn 2.07
O 0.2121 0.2121 0.8261  1 As 1.85, 1 Cr 1.96, 1 Zn 2.07

=====

Record 6
Entry from Alexandria: ZrCrAsO5 after structural relaxation (GGA+U).

Properties
**Total DFT energy (no corrections)**: -7.600 eV/atom
**Volume**: 460.6 Å³/cell

Cell: 7.3866 9.7348 6.8262 Å, 90.00 110.21 90.00°
Last column: nearest neighbours and their distance in Å.
Space group C2/c (No. 15)
Asymmetric unit:
Zr 0.2500 0.2500 0.0000  6 O 2.04-2.25
Cr 0.0000 0.0008 0.2500  3 O 1.90-2.07
As 0.0000 0.4760 0.2500  2 O 1.76
O 0.0000 0.1947 0.7500  1 Cr 1.90, 2 Zr 2.11
O 0.0500 0.3495 0.0923  1 As 1.76
O 0.1777 0.0372 0.0788  2 Cr 2.07-2.20, 1 Zr 2.25